! meta-GGA SCAN Li2ZrPt2, single point on PBEsol structure; values from VASP
! E_tot: -179.85 eV/cell
! M_tot: 0.00 Bohr magnetons per cell
! calculated formation energy: -0.80 eV per atom
&SYSTEM
  ibrav = 0, nat = 5, ntyp = 3
/
ATOMIC_SPECIES
Pt 195.08 Pt.upf
Li 6.94 Li.upf
Zr 91.22 Zr.upf
CELL_PARAMETERS angstrom
-3.0063 -0.6161 -1.5553
-0.2948 -2.9534 1.7398
-1.5940 5.0426 4.8886
ATOMIC_POSITIONS crystal
Pt 0.3987 0.3987 0.7974
Li 0.7500 0.2500 0.5000
Li 0.2500 0.7500 0.5000
Pt 0.6013 0.6013 0.2026
Zr 0.0000 0.0000 0.0000

***

! meta-GGA SCAN Cd2Ge2Br, single point on PBEsol structure; values from VASP
! E_tot: -117.83 eV/cell
! ΔE_f (raw): 0.126 eV per atom
! M_tot: 0.00 Bohr magnetons per cell
&SYSTEM
  ibrav = 0, nat = 5, ntyp = 3
/
ATOMIC_SPECIES
Cd 112.41 Cd.upf
Br 79.90 Br.upf
Ge 72.64 Ge.upf
CELL_PARAMETERS angstrom
4.7758 0.0000 0.0000
0.0000 4.7758 0.0000
-2.3879 -2.3879 5.1225
ATOMIC_POSITIONS crystal
Cd 0.7500 0.2500 0.5000
Br 0.0000 0.0000 0.0000
Ge 0.3828 0.3828 0.7656
Cd 0.2500 0.7500 0.5000
Ge 0.6172 0.6172 0.2344

***

! meta-GGA SCAN La2IN2, single point on PBEsol structure; values from VASP
! E_tot: -149.05 eV/cell
! ΔE_f (raw): -1.504 eV per atom
! M_tot: 1.01 Bohr magnetons per cell
&SYSTEM
  ibrav = 0, nat = 5, ntyp = 3
/
ATOMIC_SPECIES
I 126.90 I.upf
N 14.01 N.upf
La 138.91 La.upf
CELL_PARAMETERS angstrom
-0.9407 -3.6929 -1.6444
3.1415 0.3948 -2.6836
3.1212 -1.4254 6.6536
ATOMIC_POSITIONS crystal
I 0.0000 0.0000 0.0000
N 0.2500 0.7500 0.5000
N 0.7500 0.2500 0.5000
La 0.6675 0.6675 0.3350
La 0.3325 0.3325 0.6650

***

! meta-GGA SCAN Ge3IrN, single point on PBEsol structure; values from VASP
! E_tot: -132.13 eV/cell
! ΔE_f (raw): 1.105 eV per atom
! M_tot: 0.14 Bohr magnetons per cell
&SYSTEM
  ibrav = 0, nat = 5, ntyp = 3
/
ATOMIC_SPECIES
Ir 192.22 Ir.upf
Ge 72.64 Ge.upf
N 14.01 N.upf
CELL_PARAMETERS angstrom
-2.9120 -3.2725 -1.5579
-0.1210 -1.9096 4.2374
-3.6224 2.6945 1.1109
ATOMIC_POSITIONS crystal
Ir 0.0000 0.0000 0.0000
Ge 0.0000 0.0000 0.5000
N 0.5000 0.5000 0.5000
Ge 0.0000 0.5000 0.0000
Ge 0.5000 0.0000 0.0000

***

! meta-GGA SCAN Ti3OsF, single point on PBEsol structure; values from VASP
! E_tot: -127.22 eV/cell
! ΔE_f (raw): -0.743 eV per atom
! M_tot: 0.01 Bohr magnetons per cell
&SYSTEM
  ibrav = 0, nat = 5, ntyp = 3
/
ATOMIC_SPECIES
Ti 47.87 Ti.upf
F 19.00 F.upf
Os 190.23 Os.upf
CELL_PARAMETERS angstrom
4.0765 0.0000 0.0000
0.0000 4.0765 0.0000
0.0000 0.0000 4.0765
ATOMIC_POSITIONS crystal
Ti 0.0000 0.0000 0.5000
Ti 0.0000 0.5000 0.0000
F 0.0000 0.0000 0.0000
Os 0.5000 0.5000 0.5000
Ti 0.5000 0.0000 0.0000

***

! meta-GGA SCAN SbPSCl2, single point on PBEsol structure; values from VASP
! E_tot: -70.58 eV/cell
! ΔE_f (raw): 0.532 eV per atom
! M_tot: 0.00 Bohr magnetons per cell
&SYSTEM
  ibrav = 0, nat = 5, ntyp = 4
/
ATOMIC_SPECIES
Cl 35.45 Cl.upf
P 30.97 P.upf
Sb 121.76 Sb.upf
S 32.06 S.upf
CELL_PARAMETERS angstrom
-0.9587 3.6510 2.5612
-0.6594 -2.7070 3.6120
4.8089 0.4240 1.1957
ATOMIC_POSITIONS crystal
Cl 0.5000 0.0000 0.0000
P 0.0000 0.0000 0.5000
Sb 0.5000 0.5000 0.5000
Cl 0.0000 0.5000 0.0000
S 0.0000 0.0000 0.0000

***

! meta-GGA SCAN La2Rh2I, single point on PBEsol structure; values from VASP
! E_tot: -391.69 eV/cell
! ΔE_f (raw): -1.070 eV per atom
! M_tot: 0.00 Bohr magnetons per cell
&SYSTEM
  ibrav = 0, nat = 10, ntyp = 3
/
ATOMIC_SPECIES
Rh 102.91 Rh.upf
La 138.91 La.upf
I 126.90 I.upf
CELL_PARAMETERS angstrom
4.2730 0.0000 0.0000
-2.1365 3.7006 0.0000
0.0000 0.0000 17.2522
ATOMIC_POSITIONS crystal
Rh 0.6667 0.3333 0.0004
La 0.0000 0.0000 0.8924
Rh 0.3333 0.6667 0.5004
La 0.0000 0.0000 0.6076
I 0.6667 0.3333 0.7500
La 0.0000 0.0000 0.3924
Rh 0.6667 0.3333 0.4996
Rh 0.3333 0.6667 0.9996
I 0.3333 0.6667 0.2500
La 0.0000 0.0000 0.1076

***

! meta-GGA SCAN LiTi3Zn2O8, single point on PBEsol structure; values from VASP
! E_tot: -663.07 eV/cell
! ΔE_f (raw): -2.743 eV per atom
! M_tot: 3.64 Bohr magnetons per cell
&SYSTEM
  ibrav = 0, nat = 56, ntyp = 4
/
ATOMIC_SPECIES
O 16.00 O.upf
Li 6.94 Li.upf
Zn 65.41 Zn.upf
Ti 47.87 Ti.upf
CELL_PARAMETERS angstrom
8.3772 0.0000 0.0000
0.0000 8.3772 0.0000
0.0000 0.0000 8.3772
ATOMIC_POSITIONS crystal
O 0.8733 0.6113 0.8923
Li 0.3750 0.3750 0.3750
O 0.6423 0.8613 0.3767
Zn 0.7485 0.2485 0.2515
O 0.8656 0.6344 0.3656
O 0.8923 0.8733 0.6113
Ti 0.3750 0.8715 0.8785
O 0.1423 0.6387 0.6233
Zn 0.9985 0.9985 0.9985
Li 0.6250 0.8750 0.1250
Ti 0.1285 0.3785 0.1250
Ti 0.8785 0.3750 0.8715
O 0.8887 0.1077 0.3733
O 0.6156 0.6156 0.6156
O 0.3577 0.3613 0.1233
Ti 0.6285 0.1215 0.8750
O 0.1113 0.6077 0.1267
O 0.3923 0.6267 0.3887
Zn 0.2485 0.2515 0.7485
Zn 0.0015 0.4985 0.5015
Ti 0.8715 0.8785 0.3750
Zn 0.2515 0.7485 0.2485
O 0.3887 0.3923 0.6267
O 0.6387 0.6233 0.1423
Ti 0.1250 0.1285 0.3785
O 0.6344 0.3656 0.8656
Ti 0.1215 0.8750 0.6285
Li 0.8750 0.1250 0.6250
Ti 0.3785 0.1250 0.1285
O 0.8613 0.3767 0.6423
O 0.6113 0.8923 0.8733
O 0.6267 0.3887 0.3923
O 0.3656 0.8656 0.6344
O 0.1233 0.3577 0.3613
Zn 0.4985 0.5015 0.0015
O 0.3844 0.1156 0.8844
O 0.1387 0.8767 0.8577
Ti 0.8750 0.6285 0.1215
O 0.1077 0.3733 0.8887
Zn 0.5015 0.0015 0.4985
O 0.6077 0.1267 0.1113
O 0.1267 0.1113 0.6077
Ti 0.3715 0.6215 0.6250
O 0.1156 0.8844 0.3844
O 0.8577 0.1387 0.8767
O 0.3733 0.8887 0.1077
O 0.6233 0.1423 0.6387
O 0.8767 0.8577 0.1387
Zn 0.7515 0.7515 0.7515
Li 0.1250 0.6250 0.8750
O 0.8844 0.3844 0.1156
Ti 0.6215 0.6250 0.3715
O 0.3767 0.6423 0.8613
O 0.1344 0.1344 0.1344
Ti 0.6250 0.3715 0.6215
O 0.3613 0.1233 0.3577

***

! meta-GGA SCAN Ni8B3SbO15, single point on PBEsol structure; values from VASP
! E_tot: -656.90 eV/cell
! ΔE_f (raw): -1.705 eV per atom
! M_tot: 31.20 Bohr magnetons per cell
&SYSTEM
  ibrav = 0, nat = 54, ntyp = 4
/
ATOMIC_SPECIES
O 16.00 O.upf
Ni 58.69 Ni.upf
B 10.81 B.upf
Sb 121.76 Sb.upf
CELL_PARAMETERS angstrom
6.0994 0.0111 -0.0061
-1.6721 7.8238 0.0033
-0.8104 -2.9866 10.5406
ATOMIC_POSITIONS crystal
O 0.7575 0.0667 0.8949
O 0.0743 0.2633 0.0963
O 0.8929 0.4012 0.6971
O 0.0932 0.4041 0.8923
O 0.2279 0.7345 0.6976
Ni 0.1151 0.3322 0.2848
O 0.8282 0.0735 0.4701
Ni 0.8849 0.6678 0.7152
B 0.7270 0.0174 0.7621
Sb 0.3232 0.3250 0.9995
O 0.4670 0.4187 0.3031
Ni 0.1690 0.6751 0.0011
Ni 0.8310 0.3249 0.9989
O 0.1071 0.5988 0.3029
O 0.5729 0.2674 0.1084
O 0.9068 0.5959 0.1077
B 0.3949 0.6808 0.7559
O 0.7376 0.9261 0.0963
Ni 0.4488 0.6709 0.2876
O 0.1718 0.9265 0.5299
O 0.2425 0.9333 0.1051
B 0.2730 0.9826 0.2379
Ni 0.1678 0.1645 0.4979
O 0.5892 0.4073 0.9061
O 0.7721 0.2655 0.3024
O 0.4271 0.7326 0.8916
B 0.0609 0.3489 0.7560
Ni 0.7831 0.0015 0.2846
Ni 0.5512 0.3291 0.7124
O 0.8640 0.9174 0.6985
O 0.1360 0.0826 0.3015
O 0.2624 0.0739 0.9037
O 0.4108 0.5927 0.0939
O 0.5079 0.2609 0.5276
O 0.8413 0.5958 0.5296
O 0.7998 0.7493 0.3028
O 0.5608 0.0693 0.6977
Ni 0.8322 0.8355 0.5021
Ni 0.1665 0.6666 0.5002
B 0.6051 0.3192 0.2441
O 0.5330 0.5813 0.6969
Sb 0.6768 0.6750 0.0005
Ni 0.2169 0.9985 0.7154
O 0.2002 0.2507 0.6972
Ni 0.5000 0.0000 0.0000
Ni 0.5000 0.0000 0.5000
B 0.9391 0.6511 0.2440
O 0.1587 0.4042 0.4704
Ni 0.0000 0.0000 0.0000
O 0.4392 0.9307 0.3023
O 0.4921 0.7391 0.4724
Ni 0.8335 0.3334 0.4998
Ni 0.5000 0.5000 0.5000
O 0.9257 0.7367 0.9037

***

! meta-GGA SCAN K2CuSb, single point on PBEsol structure; values from VASP
! E_tot: -70.30 eV/cell
! ΔE_f (raw): -0.296 eV per atom
! M_tot: 0.00 Bohr magnetons per cell
&SYSTEM
  ibrav = 0, nat = 4, ntyp = 3
/
ATOMIC_SPECIES
Sb 121.76 Sb.upf
K 39.10 K.upf
Cu 63.55 Cu.upf
CELL_PARAMETERS angstrom
4.6608 0.0000 0.0000
0.0000 5.5444 0.0000
0.0000 -2.7722 5.4898
ATOMIC_POSITIONS crystal
Sb 0.0000 0.7784 0.5569
K 0.0000 0.0937 0.1874
Cu 0.5000 0.7142 0.4283
K 0.5000 0.3943 0.7885

***

! meta-GGA SCAN Bi7O5F11, single point on PBEsol structure; values from VASP
! E_tot: -667.03 eV/cell
! ΔE_f (raw): -2.038 eV per atom
! M_tot: 0.00 Bohr magnetons per cell
&SYSTEM
  ibrav = 0, nat = 23, ntyp = 3
/
ATOMIC_SPECIES
F 19.00 F.upf
O 16.00 O.upf
Bi 208.98 Bi.upf
CELL_PARAMETERS angstrom
-1.3633 -0.0487 5.3593
3.7453 -5.8694 -1.9539
7.3481 5.0775 1.9154
ATOMIC_POSITIONS crystal
F 0.9638 0.6511 0.5186
O 0.7033 0.0000 0.0000
Bi 0.4298 0.8605 0.7892
Bi 0.2940 0.6122 0.3602
O 0.7768 0.1198 0.7238
F 0.3128 0.3489 0.4814
O 0.7367 0.2184 0.4461
F 0.1972 0.0000 0.0000
F 0.2841 0.1199 0.7191
F 0.0106 0.2897 0.1889
F 0.7392 0.3824 0.9648
Bi 0.8991 0.0000 0.5000
O 0.6570 0.8802 0.2762
Bi 0.5693 0.1395 0.2108
O 0.5183 0.7816 0.5539
Bi 0.0473 0.2550 0.9218
F 0.3567 0.6176 0.0352
Bi 0.7923 0.7450 0.0782
F 0.1086 0.4971 0.7455
F 0.7209 0.7103 0.8111
F 0.6115 0.5029 0.2545
Bi 0.6817 0.3878 0.6398
F 0.1642 0.8801 0.2809

***

! meta-GGA SCAN TaOsBr, single point on PBEsol structure; values from VASP
! E_tot: -155.71 eV/cell
! ΔE_f (raw): 0.737 eV per atom
! M_tot: 0.00 Bohr magnetons per cell
&SYSTEM
  ibrav = 0, nat = 3, ntyp = 3
/
ATOMIC_SPECIES
Ta 180.95 Ta.upf
Br 79.90 Br.upf
Os 190.23 Os.upf
CELL_PARAMETERS angstrom
2.9850 0.0000 0.0000
0.0000 4.3524 0.0000
0.0000 -2.1762 3.7693
ATOMIC_POSITIONS crystal
Ta 0.2193 0.3333 0.6667
Br 0.0459 0.0000 0.0000
Os 0.7348 0.6667 0.3333

***

! meta-GGA SCAN K4Hg, single point on PBEsol structure; values from VASP
! E_tot: -102.04 eV/cell
! M_tot: 0.00 Bohr magnetons per cell
! calculated formation energy: -0.11 eV per atom
&SYSTEM
  ibrav = 0, nat = 5, ntyp = 2
/
ATOMIC_SPECIES
K 39.10 K.upf
Hg 200.59 Hg.upf
CELL_PARAMETERS angstrom
4.3242 0.0000 0.0000
2.1621 7.8303 0.0000
2.1621 0.0000 7.8303
ATOMIC_POSITIONS crystal
K 0.5667 0.1869 0.6796
K 0.4333 0.8131 0.3204
K 0.7537 0.6796 0.8131
K 0.2463 0.3204 0.1869
Hg 0.0000 0.0000 0.0000

***

! meta-GGA SCAN ReIrPt3, single point on PBEsol structure; values from VASP
! E_tot: -343.13 eV/cell
! M_tot: 0.73 Bohr magnetons per cell
! calculated formation energy: 1.93 eV per atom
&SYSTEM
  ibrav = 0, nat = 5, ntyp = 3
/
ATOMIC_SPECIES
Re 186.21 Re.upf
Pt 195.08 Pt.upf
Ir 192.22 Ir.upf
CELL_PARAMETERS angstrom
-0.2245 3.2536 -3.3462
-4.5712 -0.8294 -0.4997
-0.9419 3.2496 3.2228
ATOMIC_POSITIONS crystal
Re 0.0000 0.0000 0.0000
Pt 0.5000 0.0000 0.0000
Pt 0.0000 0.5000 0.0000
Ir 0.5000 0.5000 0.5000
Pt 0.0000 0.0000 0.5000

***

! meta-GGA SCAN YSi, single point on PBEsol structure; values from VASP
! E_tot: -76.58 eV/cell
! ΔE_f (raw): -0.215 eV per atom
! M_tot: 0.00 Bohr magnetons per cell
&SYSTEM
  ibrav = 0, nat = 4, ntyp = 2
/
ATOMIC_SPECIES
Y 88.91 Y.upf
Si 28.09 Si.upf
CELL_PARAMETERS angstrom
-1.9017 2.0878 1.7851
-2.5415 -2.1611 -0.1798
2.4201 -3.3904 6.5434
ATOMIC_POSITIONS crystal
Y 0.5000 0.0000 0.6870
Y 0.0000 0.5000 0.3130
Si 0.5000 0.0000 0.0646
Si 0.0000 0.5000 0.9354

***

! meta-GGA SCAN TaCo2Rh, single point on PBEsol structure; values from VASP
! E_tot: -136.07 eV/cell
! M_tot: 1.61 Bohr magnetons per cell
! calculated formation energy: -0.28 eV per atom
&SYSTEM
  ibrav = 0, nat = 4, ntyp = 3
/
ATOMIC_SPECIES
Co 58.93 Co.upf
Rh 102.91 Rh.upf
Ta 180.95 Ta.upf
CELL_PARAMETERS angstrom
-1.5954 3.2659 -0.1095
-2.1436 -1.1409 -2.7962
-2.5457 -1.1623 2.4257
ATOMIC_POSITIONS crystal
Co 0.0000 0.0000 0.5000
Co 0.0000 0.5000 0.0000
Rh 0.5000 0.5000 0.5000
Ta 0.5000 0.0000 0.0000

***

! meta-GGA SCAN LiMg2Pt, single point on PBEsol structure; values from VASP
! E_tot: -85.64 eV/cell
! M_tot: 0.00 Bohr magnetons per cell
! calculated formation energy: -0.78 eV per atom
&SYSTEM
  ibrav = 0, nat = 4, ntyp = 3
/
ATOMIC_SPECIES
Mg 24.30 Mg.upf
Li 6.94 Li.upf
Pt 195.08 Pt.upf
CELL_PARAMETERS angstrom
4.4951 0.0000 0.0000
2.2475 3.8928 0.0000
2.2475 1.2976 3.6702
ATOMIC_POSITIONS crystal
Mg 0.7500 0.7500 0.7500
Mg 0.2500 0.2500 0.2500
Li 0.0000 0.0000 0.0000
Pt 0.5000 0.5000 0.5000

***

! meta-GGA SCAN NbAs2C, single point on PBEsol structure; values from VASP
! E_tot: -162.00 eV/cell
! M_tot: 0.00 Bohr magnetons per cell
! calculated formation energy: 0.65 eV per atom
&SYSTEM
  ibrav = 0, nat = 8, ntyp = 3
/
ATOMIC_SPECIES
As 74.92 As.upf
C 12.01 C.upf
Nb 92.91 Nb.upf
CELL_PARAMETERS angstrom
-1.0762 -4.6061 -3.0283
5.3056 1.8178 0.3022
-0.5083 -0.2974 5.5856
ATOMIC_POSITIONS crystal
As 0.5856 0.3750 0.4606
As 0.0856 0.2106 0.6250
C 0.0000 0.5000 0.5000
As 0.4144 0.8750 0.7894
Nb 0.0000 0.0000 0.0000
As 0.9144 0.5394 0.1250
Nb 0.5000 0.7500 0.2500
C 0.5000 0.2500 0.7500

***

! meta-GGA SCAN LiBe3Br, single point on PBEsol structure; values from VASP
! E_tot: -27.74 eV/cell
! ΔE_f (raw): 1.435 eV per atom
! M_tot: 0.04 Bohr magnetons per cell
&SYSTEM
  ibrav = 0, nat = 5, ntyp = 3
/
ATOMIC_SPECIES
Be 9.01 Be.upf
Li 6.94 Li.upf
Br 79.90 Br.upf
CELL_PARAMETERS angstrom
4.4936 0.0000 0.0000
0.0000 4.4936 0.0000
0.0000 0.0000 4.4936
ATOMIC_POSITIONS crystal
Be 0.0000 0.5000 0.0000
Li 0.5000 0.5000 0.5000
Br 0.0000 0.0000 0.0000
Be 0.0000 0.0000 0.5000
Be 0.5000 0.0000 0.0000

***

! meta-GGA SCAN CrC2Br2, single point on PBEsol structure; values from VASP
! E_tot: -139.10 eV/cell
! ΔE_f (raw): 1.590 eV per atom
! M_tot: 4.03 Bohr magnetons per cell
&SYSTEM
  ibrav = 0, nat = 10, ntyp = 3
/
ATOMIC_SPECIES
C 12.01 C.upf
Br 79.90 Br.upf
Cr 52.00 Cr.upf
CELL_PARAMETERS angstrom
4.3786 0.0000 0.0000
0.0000 5.9198 0.0000
0.0000 0.0000 5.9198
ATOMIC_POSITIONS crystal
C 0.0000 0.2654 0.2346
Br 0.5000 0.3053 0.1947
Br 0.5000 0.6947 0.8053
Br 0.5000 0.8053 0.3053
Cr 0.0000 0.0000 0.0000
C 0.0000 0.7346 0.7654
C 0.0000 0.7654 0.2654
Br 0.5000 0.1947 0.6947
C 0.0000 0.2346 0.7346
Cr 0.0000 0.5000 0.5000

***

! meta-GGA SCAN ZnTc2Te, single point on PBEsol structure; values from VASP
! E_tot: -119.89 eV/cell
! ΔE_f (raw): 0.248 eV per atom
! M_tot: 0.00 Bohr magnetons per cell
&SYSTEM
  ibrav = 0, nat = 4, ntyp = 3
/
ATOMIC_SPECIES
Zn 65.41 Zn.upf
Tc 98.00 Tc.upf
Te 127.60 Te.upf
CELL_PARAMETERS angstrom
-0.7908 -4.2450 0.8543
2.3153 -3.1275 -2.0575
2.9512 -2.3824 2.2339
ATOMIC_POSITIONS crystal
Zn 0.5000 0.5000 0.5000
Tc 0.7500 0.7500 0.7500
Tc 0.2500 0.2500 0.2500
Te 0.0000 0.0000 0.0000

***

! meta-GGA SCAN Al2IrW, single point on PBEsol structure; values from VASP
! E_tot: -158.00 eV/cell
! M_tot: 0.00 Bohr magnetons per cell
! calculated formation energy: -0.43 eV per atom
&SYSTEM
  ibrav = 0, nat = 4, ntyp = 3
/
ATOMIC_SPECIES
Ir 192.22 Ir.upf
Al 26.98 Al.upf
W 183.84 W.upf
CELL_PARAMETERS angstrom
-0.0102 -2.8500 0.0581
2.7493 -0.0840 -3.6344
2.6800 1.4941 3.8317
ATOMIC_POSITIONS crystal
Ir 0.5029 0.4480 0.0058
Al 0.7594 0.2963 0.5187
W 0.2419 0.7948 0.4837
Al 0.9959 0.9608 0.9917